(1)
# Sc2MnVSn, optimized geometry, DFT PBE
data_Sc2MnVSn
_chemical_formula_sum 'Sc2 Mn1 V1 Sn1'
_cell_length_a 4.923
_cell_length_b 4.923
_cell_length_c 4.255
_cell_angle_alpha 90.00
_cell_angle_beta 90.00
_cell_angle_gamma 90.00
_space_group_name_H-M_alt 'P 1'
_space_group_IT_number 1
_space_group_name_Hall 'P 1'
loop_
_atom_site_label
_atom_site_type_symbol
_atom_site_fract_x
_atom_site_fract_y
_atom_site_fract_z
Sc1 Sc 0.000 0.500 0.000
Sc2 Sc 0.500 0.000 0.000
Mn1 Mn 0.000 0.000 0.000
V1 V 0.000 0.000 0.500
Sn1 Sn 0.500 0.500 0.500
# E = -34.13 eV for the cell shown
# density = 5.06 g cm⁻³
# crystal system = tetragonal
# spin magnetization = 0.79 μB/f.u.

=====

(2)
# SrScMn2, optimized geometry, DFT PBE
data_SrScMn2
_chemical_formula_sum 'Sr1 Sc1 Mn2'
_cell_length_a 6.519
_cell_length_b 6.519
_cell_length_c 6.519
_cell_angle_alpha 149.14
_cell_angle_beta 138.77
_cell_angle_gamma 52.37
_space_group_name_H-M_alt 'P 1'
_space_group_IT_number 1
_space_group_name_Hall 'P 1'
loop_
_atom_site_label
_atom_site_type_symbol
_atom_site_fract_x
_atom_site_fract_y
_atom_site_fract_z
Sr1 Sr 0.000 0.000 0.000
Sc1 Sc 0.736 0.236 0.500
Mn1 Mn 0.262 0.762 0.500
Mn2 Mn 0.369 0.369 0.000
# E = -24.63 eV for the cell shown
# density = 4.32 g cm⁻³
# crystal system = orthorhombic
# excess energy over the best structure of this formula in the dataset = 82 meV per atom
# spin magnetization = 0.04 μB/f.u.

=====

(3)
# SrScMn2, optimized geometry, DFT PBE
data_SrScMn2
_chemical_formula_sum 'Sr1 Sc1 Mn2'
_cell_length_a 9.944
_cell_length_b 9.944
_cell_length_c 9.944
_cell_angle_alpha 19.14
_cell_angle_beta 19.14
_cell_angle_gamma 19.14
_space_group_name_H-M_alt 'P 1'
_space_group_IT_number 1
_space_group_name_Hall 'P 1'
loop_
_atom_site_label
_atom_site_type_symbol
_atom_site_fract_x
_atom_site_fract_y
_atom_site_fract_z
Sr1 Sr 0.000 0.000 0.000
Sc1 Sc 0.500 0.500 0.500
Mn1 Mn 0.241 0.241 0.241
Mn2 Mn 0.759 0.759 0.759
# E = -23.66 eV for the cell shown
# density = 4.36 g cm⁻³
# crystal system = trigonal
# excess energy over the best structure of this formula in the dataset = 323 meV per atom
# spin magnetization = 6.46 μB/f.u.

=====

(4)
# SrScMn2, optimized geometry, DFT PBE
data_SrScMn2
_chemical_formula_sum 'Sr1 Sc1 Mn2'
_cell_length_a 5.576
_cell_length_b 5.576
_cell_length_c 5.576
_cell_angle_alpha 133.19
_cell_angle_beta 133.19
_cell_angle_gamma 68.36
_space_group_name_H-M_alt 'P 1'
_space_group_IT_number 1
_space_group_name_Hall 'P 1'
loop_
_atom_site_label
_atom_site_type_symbol
_atom_site_fract_x
_atom_site_fract_y
_atom_site_fract_z
Sr1 Sr 0.000 0.000 0.000
Sc1 Sc 0.750 0.250 0.500
Mn1 Mn 0.250 0.750 0.500
Mn2 Mn 0.500 0.500 0.000
# E = -23.85 eV for the cell shown
# density = 4.45 g cm⁻³
# crystal system = tetragonal
# excess energy over the best structure of this formula in the dataset = 276 meV per atom
# spin magnetization = 6.39 μB/f.u.

=====

(5)
# SrScMn2, optimized geometry, DFT PBE
data_SrScMn2
_chemical_formula_sum 'Sr1 Sc1 Mn2'
_cell_length_a 4.744
_cell_length_b 4.744
_cell_length_c 4.744
_cell_angle_alpha 60.00
_cell_angle_beta 60.00
_cell_angle_gamma 60.00
_space_group_name_H-M_alt 'P 1'
_space_group_IT_number 1
_space_group_name_Hall 'P 1'
loop_
_atom_site_label
_atom_site_type_symbol
_atom_site_fract_x
_atom_site_fract_y
_atom_site_fract_z
Sr1 Sr 0.000 0.000 0.000
Sc1 Sc 0.500 0.500 0.500
Mn1 Mn 0.250 0.250 0.250
Mn2 Mn 0.750 0.750 0.750
# E = -21.95 eV for the cell shown
# density = 5.33 g cm⁻³
# crystal system = cubic
# excess energy over the best structure of this formula in the dataset = 750 meV per atom
# spin magnetization = 0.00 μB/f.u.

=====

(6)
# SrScMn2, optimized geometry, DFT PBE
data_SrScMn2
_chemical_formula_sum 'Sr1 Sc1 Mn2'
_cell_length_a 5.137
_cell_length_b 5.137
_cell_length_c 3.458
_cell_angle_alpha 90.06
_cell_angle_beta 90.06
_cell_angle_gamma 90.24
_space_group_name_H-M_alt 'P 1'
_space_group_IT_number 1
_space_group_name_Hall 'P 1'
loop_
_atom_site_label
_atom_site_type_symbol
_atom_site_fract_x
_atom_site_fract_y
_atom_site_fract_z
Sr1 Sr 0.000 0.000 0.000
Sc1 Sc 0.500 0.500 0.000
Mn1 Mn 0.000 0.500 0.500
Mn2 Mn 0.500 0.000 0.500
# E = -24.16 eV for the cell shown
# density = 4.41 g cm⁻³
# crystal system = monoclinic
# excess energy over the best structure of this formula in the dataset = 198 meV per atom
# spin magnetization = 6.74 μB/f.u.

=====

(7)
# SrSc3Mn, optimized geometry, DFT PBE
data_SrSc3Mn
_chemical_formula_sum 'Sr1 Sc3 Mn1'
_cell_length_a 5.060
_cell_length_b 5.060
_cell_length_c 5.060
_cell_angle_alpha 90.00
_cell_angle_beta 90.00
_cell_angle_gamma 90.00
_space_group_name_H-M_alt 'P 1'
_space_group_IT_number 1
_space_group_name_Hall 'P 1'
loop_
_atom_site_label
_atom_site_type_symbol
_atom_site_fract_x
_atom_site_fract_y
_atom_site_fract_z
Sr1 Sr 0.000 0.000 0.000
Sc1 Sc 0.000 0.500 0.500
Sc2 Sc 0.500 0.000 0.500
Sc3 Sc 0.500 0.500 0.000
Mn1 Mn 0.500 0.500 0.500
# E = -29.01 eV for the cell shown
# density = 3.55 g cm⁻³
# crystal system = cubic
# excess energy over the best structure of this formula in the dataset = 0 meV per atom
# spin magnetization = 0.13 μB/f.u.

=====

(8)
# SrScMn2, optimized geometry, DFT PBE
data_SrScMn2
_chemical_formula_sum 'Sr1 Sc1 Mn2'
_cell_length_a 3.233
_cell_length_b 3.233
_cell_length_c 8.620
_cell_angle_alpha 90.00
_cell_angle_beta 90.00
_cell_angle_gamma 90.00
_space_group_name_H-M_alt 'P 1'
_space_group_IT_number 1
_space_group_name_Hall 'P 1'
loop_
_atom_site_label
_atom_site_type_symbol
_atom_site_fract_x
_atom_site_fract_y
_atom_site_fract_z
Sr1 Sr 0.000 0.000 0.000
Sc1 Sc 0.500 0.500 0.630
Mn1 Mn 0.000 0.000 0.423
Mn2 Mn 0.500 0.500 0.294
# E = -24.95 eV for the cell shown
# density = 4.47 g cm⁻³
# crystal system = tetragonal
# excess energy over the best structure of this formula in the dataset = 0 meV per atom
# spin magnetization = 1.53 μB/f.u.

=====

(9)
# SrSc3Mn, optimized geometry, DFT PBE
data_SrSc3Mn
_chemical_formula_sum 'Sr1 Sc3 Mn1'
_cell_length_a 5.000
_cell_length_b 5.000
_cell_length_c 5.000
_cell_angle_alpha 90.00
_cell_angle_beta 90.00
_cell_angle_gamma 90.00
_space_group_name_H-M_alt 'P 1'
_space_group_IT_number 1
_space_group_name_Hall 'P 1'
loop_
_atom_site_label
_atom_site_type_symbol
_atom_site_fract_x
_atom_site_fract_y
_atom_site_fract_z
Sr1 Sr 0.000 0.000 0.000
Sc1 Sc 0.000 0.000 0.500
Sc2 Sc 0.000 0.500 0.000
Sc3 Sc 0.500 0.000 0.000
Mn1 Mn 0.500 0.500 0.500
# E = -20.00 eV for the cell shown
# density = 3.68 g cm⁻³
# crystal system = cubic
# excess energy over the best structure of this formula in the dataset = 1802 meV per atom
# spin magnetization = 0.01 μB/f.u.

=====

(10)
# SrScMn2, optimized geometry, DFT PBE
data_SrScMn2
_chemical_formula_sum 'Sr1 Sc1 Mn2'
_cell_length_a 3.585
_cell_length_b 3.585
_cell_length_c 7.374
_cell_angle_alpha 90.00
_cell_angle_beta 90.00
_cell_angle_gamma 90.00
_space_group_name_H-M_alt 'P 1'
_space_group_IT_number 1
_space_group_name_Hall 'P 1'
loop_
_atom_site_label
_atom_site_type_symbol
_atom_site_fract_x
_atom_site_fract_y
_atom_site_fract_z
Sr1 Sr 0.000 0.000 0.000
Sc1 Sc 0.000 0.000 0.500
Mn1 Mn 0.500 0.500 0.317
Mn2 Mn 0.500 0.500 0.683
# E = -24.85 eV for the cell shown
# density = 4.25 g cm⁻³
# crystal system = tetragonal
# excess energy over the best structure of this formula in the dataset = 27 meV per atom
# spin magnetization = 6.56 μB/f.u.

=====

(11)
# SrScMn2, optimized geometry, DFT PBE
data_SrScMn2
_chemical_formula_sum 'Sr1 Sc1 Mn2'
_cell_length_a 4.880
_cell_length_b 4.880
_cell_length_c 6.705
_cell_angle_alpha 98.47
_cell_angle_beta 98.47
_cell_angle_gamma 38.68
_space_group_name_H-M_alt 'P 1'
_space_group_IT_number 1
_space_group_name_Hall 'P 1'
loop_
_atom_site_label
_atom_site_type_symbol
_atom_site_fract_x
_atom_site_fract_y
_atom_site_fract_z
Sr1 Sr 0.000 0.000 0.000
Sc1 Sc 0.500 0.500 0.500
Mn1 Mn 0.244 0.244 0.657
Mn2 Mn 0.756 0.756 0.343
# E = -24.23 eV for the cell shown
# density = 4.08 g cm⁻³
# crystal system = monoclinic
# excess energy over the best structure of this formula in the dataset = 182 meV per atom
# spin magnetization = 5.96 μB/f.u.

=====

(12)
# SrScMn2, optimized geometry, DFT PBE
data_SrScMn2
_chemical_formula_sum 'Sr1 Sc1 Mn2'
_cell_length_a 5.578
_cell_length_b 5.578
_cell_length_c 5.550
_cell_angle_alpha 105.00
_cell_angle_beta 105.00
_cell_angle_gamma 33.76
_space_group_name_H-M_alt 'P 1'
_space_group_IT_number 1
_space_group_name_Hall 'P 1'
loop_
_atom_site_label
_atom_site_type_symbol
_atom_site_fract_x
_atom_site_fract_y
_atom_site_fract_z
Sr1 Sr 0.000 0.000 0.000
Sc1 Sc 0.799 0.799 0.388
Mn1 Mn 0.234 0.234 0.774
Mn2 Mn 0.545 0.545 0.520
# E = -24.31 eV for the cell shown
# density = 4.36 g cm⁻³
# crystal system = monoclinic
# excess energy over the best structure of this formula in the dataset = 160 meV per atom
# spin magnetization = 6.20 μB/f.u.

=====

Copy entry 10 word for word.
# SrScMn2, optimized geometry, DFT PBE
data_SrScMn2
_chemical_formula_sum 'Sr1 Sc1 Mn2'
_cell_length_a 3.585
_cell_length_b 3.585
_cell_length_c 7.374
_cell_angle_alpha 90.00
_cell_angle_beta 90.00
_cell_angle_gamma 90.00
_space_group_name_H-M_alt 'P 1'
_space_group_IT_number 1
_space_group_name_Hall 'P 1'
loop_
_atom_site_label
_atom_site_type_symbol
_atom_site_fract_x
_atom_site_fract_y
_atom_site_fract_z
Sr1 Sr 0.000 0.000 0.000
Sc1 Sc 0.000 0.000 0.500
Mn1 Mn 0.500 0.500 0.317
Mn2 Mn 0.500 0.500 0.683
# E = -24.85 eV for the cell shown
# density = 4.25 g cm⁻³
# crystal system = tetragonal
# excess energy over the best structure of this formula in the dataset = 27 meV per atom
# spin magnetization = 6.56 μB/f.u.